No. 1
The following is a GGA-PBE calculation of a geometry-optimized Zr3TaPd12 structure, from Alexandria.

The energy of formation is -1019 kJ/mol of formula units. The calculation puts the raw total energy at -110.4 eV/f.u. The crystal system is tetragonal.

The structure belongs to space group P4/mmm (No. 123); the cell edges are 4.0204, 4.0204 and 16.0756 Å and the angles 90.00°, 90.00° and 90.00°. The asymmetric unit holds Zr at (0.0000, 0.0000, 0.0000), Zr at (0.0000, 0.0000, 0.2514), Ta at (0.0000, 0.0000, 0.5000), Pd at (0.0000, 0.5000, 0.1260), Pd at (0.0000, 0.5000, 0.3791), Pd at (0.5000, 0.5000, 0.0000), Pd at (0.5000, 0.5000, 0.2526) and Pd at (0.5000, 0.5000, 0.5000).

No. 2
The following is a GGA-PBE calculation of a geometry-optimized ZrTaPd3 structure, from Alexandria.

As for the relative energy among the computed polymorphs: 0.00 eV per formula unit. The energy of formation is 307 kJ/mol of formula units. The calculation puts the raw total energy at -32.8 eV/f.u. The crystal system is cubic.

The structure belongs to space group Pm-3m (No. 221); the cell edges are 4.7907, 4.7907 and 4.7907 Å and the angles 90.00°, 90.00° and 90.00°. The asymmetric unit holds Zr at (0.0000, 0.0000, 0.0000), Ta at (0.5000, 0.5000, 0.5000) and Pd at (0.0000, 0.5000, 0.5000).

No. 3
The following is a GGA-PBE calculation of a geometry-optimized ZrTaPd2 structure, from Alexandria.

The energy of formation is -10 kJ/mol of formula units. The calculation puts the raw total energy at -30.9 eV/f.u. The crystal system is tetragonal.

The structure belongs to space group I-42d (No. 122); the cell edges are 7.3478, 7.3478 and 5.5955 Å and the angles 90.00°, 90.00° and 90.00°. The asymmetric unit holds Zr at (0.0000, 0.0000, 0.0000), Ta at (0.0000, 0.0000, 0.5000) and Pd at (0.2313, 0.7500, 0.6250).

No. 4
The following is a GGA-PBE calculation of a geometry-optimized ZrTaPd structure, from Alexandria.

As for the relative energy among the computed polymorphs: 0.80 eV per formula unit. The energy of formation is -6 kJ/mol of formula units. The calculation puts the raw total energy at -25.7 eV/f.u. The crystal system is hexagonal.

The structure belongs to space group P-6m2 (No. 187); the cell edges are 4.7511, 4.7511 and 2.8772 Å and the angles 90.00°, 90.00° and 120.00°. The asymmetric unit holds Zr at (0.0000, 0.0000, 0.0000), Ta at (0.3333, 0.6667, 0.5000) and Pd at (0.6667, 0.3333, 0.5000).

No. 5
The following is a GGA-PBE calculation of a geometry-optimized ZrTaPd2 structure, from Alexandria.

The energy of formation is -157 kJ/mol of formula units. The calculation puts the raw total energy at -32.4 eV/f.u. The crystal system is tetragonal.

The structure belongs to space group P4/mmm (No. 123); the cell edges are 2.9009, 2.9009 and 8.2351 Å and the angles 90.00°, 90.00° and 90.00°. The asymmetric unit holds Zr at (0.0000, 0.0000, 0.0000), Ta at (0.0000, 0.0000, 0.5000) and Pd at (0.5000, 0.5000, 0.2605).

No. 6
The following is a GGA-PBE calculation of a geometry-optimized Tb3Pd structure, from Alexandria.

The energy of formation is -81 kJ/mol of formula units. The calculation puts the raw total energy at -19.9 eV/f.u. The crystal system is orthorhombic.

The structure belongs to space group Pmm2 (No. 25); the cell edges are 3.5440, 3.6900 and 9.0335 Å and the angles 90.00°, 90.00° and 90.00°. The asymmetric unit holds Tb at (0.0000, 0.0000, 0.0000), Tb at (0.0000, 0.5000, 0.3345), Tb at (0.5000, 0.5000, 0.7236) and Pd at (0.5000, 0.0000, 0.4784).